# SmYNO PBE optimized geometry
data_SmYNO
_chemical_formula_sum 'Sm2 Y2 N2 O2'
_space_group_name_H-M_alt 'P m m a'
_space_group_IT_number 51
_space_group_name_Hall '-P 2a 2a'
_cell_length_a 4.938
_cell_length_b 4.026
_cell_length_c 6.983
_cell_angle_alpha 90.00
_cell_angle_beta 90.00
_cell_angle_gamma 90.00
loop_
_atom_site_label
_atom_site_type_symbol
_atom_site_fract_x
_atom_site_fract_y
_atom_site_fract_z
Sm1 Sm 0.250 0.000 0.164
Y1 Y 0.250 0.500 0.666
N1 N 0.250 0.500 0.341
O1 O 0.250 0.000 0.816
# Raw total energy in eV/atom: -8.280
# Distance to the lowest polymorph of the same formula in meV per atom: 59.9
# Total magnetization in Bohr magnetons per cell: 0.1

# Dy2NiIr PBE optimized geometry
data_Dy2NiIr
_chemical_formula_sum 'Dy4 Ni2 Ir2'
_space_group_name_H-M_alt 'P 1 21/m 1'
_space_group_IT_number 11
_space_group_name_Hall '-P 2yb'
_cell_length_a 5.606
_cell_length_b 4.098
_cell_length_c 7.720
_cell_angle_alpha 90.00
_cell_angle_beta 110.16
_cell_angle_gamma 90.00
loop_
_atom_site_label
_atom_site_type_symbol
_atom_site_fract_x
_atom_site_fract_y
_atom_site_fract_z
Dy1 Dy 0.213 0.250 0.432
Dy2 Dy 0.216 0.250 0.926
Ni1 Ni 0.347 0.750 0.209
Ir1 Ir 0.353 0.750 0.715
# Raw total energy in eV/atom: -6.591
# Distance to the lowest polymorph of the same formula in meV per atom: 0.0
# DFT formation energy in eV per atom: -0.68
# Total magnetization in Bohr magnetons per cell: 0.0

# LuCuTcSb PBE optimized geometry
data_LuCuTcSb
_chemical_formula_sum 'Lu4 Cu4 Tc4 Sb4'
_space_group_name_H-M_alt 'F -4 3 m'
_space_group_IT_number 216
_space_group_name_Hall 'F -4 2 3'
_cell_length_a 6.683
_cell_length_b 6.683
_cell_length_c 6.683
_cell_angle_alpha 90.00
_cell_angle_beta 90.00
_cell_angle_gamma 90.00
loop_
_atom_site_label
_atom_site_type_symbol
_atom_site_fract_x
_atom_site_fract_y
_atom_site_fract_z
Lu1 Lu 0.000 0.000 0.000
Cu1 Cu 0.000 0.000 0.500
Tc1 Tc 0.250 0.250 0.750
Sb1 Sb 0.250 0.250 0.250
# Raw total energy in eV/atom: -5.378
# Distance to the lowest polymorph of the same formula in meV per atom: 358.7
# Total magnetization in Bohr magnetons per cell: 1.5

# Tm3Cd3Ga2Au PBE optimized geometry
data_Tm3Cd3Ga2Au
_chemical_formula_sum 'Tm3 Cd3 Ga2 Au1'
_space_group_name_H-M_alt 'P -6 2 m'
_space_group_IT_number 189
_space_group_name_Hall 'P -6 -2'
_cell_length_a 7.4276
_cell_length_b 7.4276
_cell_length_c 4.1112
_cell_angle_alpha 90.00
_cell_angle_beta 90.00
_cell_angle_gamma 120.00
loop_
_atom_site_label
_atom_site_type_symbol
_atom_site_fract_x
_atom_site_fract_y
_atom_site_fract_z
Tm1 Tm 0.0000 0.5924 0.0000
Cd1 Cd 0.0000 0.2632 0.5000
Ga1 Ga 0.3333 0.6667 0.5000
Au1 Au 0.0000 0.0000 0.0000
# Raw total energy in eV/atom: -3.369
# Total magnetization in Bohr magnetons per cell: 0.0